# 1
LaCrCo3 after structural relaxation. Source: Alexandria via LeMat-Bulk, functional PBE.

Structure (POSCAR):
```
LaCrCo3
1.0
-1.5344 0.5073 4.0378
0.8391 -4.1831 0.8444
3.9821 1.0769 1.3779
Cr Co La
1 3 1
direct
0.0000 0.0000 0.0000
0.0000 0.5000 0.0000
0.0000 0.0000 0.5000
0.5000 0.0000 0.0000
0.5000 0.5000 0.5000
```

Properties
formation energy: 0.437 eV/atom
ΔE to the lowest computed polymorph: 0 meV per atom
volume: 82 Å³ per cell
size of the total moment: 0.00 μB/atom

# 2
LaCrCo3 after structural relaxation. Source: Alexandria via LeMat-Bulk, functional PBE.

Structure (POSCAR):
```
LaCrCo3
1.0
4.4752 0.0000 0.0000
0.0000 4.4752 0.0000
0.0000 0.0000 4.4752
Cr Co La
1 3 1
direct
0.5000 0.5000 0.5000
0.0000 0.5000 0.0000
0.0000 0.0000 0.5000
0.5000 0.0000 0.0000
0.0000 0.0000 0.0000
```

Properties
formation energy: 2.000 eV/atom
ΔE to the lowest computed polymorph: 1564 meV per atom
volume: 90 Å³ per cell
size of the total moment: 0.13 μB/atom

# 3
LiLaCrCo2 after structural relaxation. Source: Alexandria via LeMat-Bulk, functional PBE.

Structure (POSCAR):
```
LiLaCrCo2
1.0
4.5536 0.0000 0.0000
0.0000 4.8453 0.0000
0.0000 0.0000 4.5536
Cr Li Co La
1 1 2 1
direct
0.5000 0.5000 0.5000
0.0000 0.5000 0.0000
0.0000 0.0000 0.5000
0.5000 0.0000 0.0000
0.0000 0.0000 0.0000
```

Properties
formation energy: 1.360 eV/atom
volume: 100 Å³ per cell
size of the total moment: 0.98 μB/atom

# 4
La2MnCrCo after structural relaxation. Source: Alexandria via LeMat-Bulk, functional PBE.

Structure (POSCAR):
```
La2MnCrCo
1.0
-3.0270 -1.1886 -4.3294
3.2118 -2.7584 -1.4883
-2.2669 -4.1023 2.7112
Cr Mn Co La
1 1 1 2
direct
0.0000 0.5000 0.0000
0.5000 0.5000 0.5000
0.0000 0.0000 0.0000
0.0000 0.0000 0.5000
0.5000 0.0000 0.0000
```

Properties
formation energy: 0.501 eV/atom
volume: 132 Å³ per cell
size of the total moment: 1.47 μB/atom

> Among the records above, which one has the lowest formation energy?

number 1